## Pr3Dy5O12 (GGA-PBE)

Data for a relaxed structure of Pr3Dy5O12.

```
Pr3Dy5O12
1.0
-6.863 6.863 6.863
6.863 -6.863 6.863
6.863 6.863 -6.863
Pr Dy O
12 20 48
Cartesian
3.432 1.716 0.000 Pr
6.863 3.432 -1.716 Pr
1.716 0.000 3.432 Pr
8.579 0.000 3.432 Pr
0.000 3.432 1.716 Pr
3.432 -1.716 6.863 Pr
3.432 8.579 0.000 Pr
6.863 3.432 5.147 Pr
-1.716 6.863 3.432 Pr
5.147 6.863 3.432 Pr
0.000 3.432 8.579 Pr
3.432 5.147 6.863 Pr
0.000 0.000 0.000 Dy
3.432 3.432 -3.432 Dy
3.432 -3.432 3.432 Dy
6.863 0.000 0.000 Dy
10.295 1.716 0.000 Dy
6.863 -3.432 5.147 Dy
5.147 6.863 -3.432 Dy
5.147 0.000 3.432 Dy
3.432 5.147 0.000 Dy
6.863 3.432 1.716 Dy
-3.432 3.432 3.432 Dy
0.000 6.863 0.000 Dy
0.000 0.000 6.863 Dy
3.432 3.432 3.432 Dy
0.000 3.432 5.147 Dy
3.432 1.716 6.863 Dy
1.716 6.863 3.432 Dy
1.716 0.000 10.295 Dy
0.000 10.295 1.716 Dy
-3.432 5.147 6.863 Dy
2.091 -0.314 0.864 O
8.204 4.296 -3.745 O
8.954 0.314 0.864 O
8.204 -2.567 3.745 O
6.550 -0.864 2.091 O
10.608 -1.341 2.567 O
0.864 2.091 -0.314 O
9.430 3.118 -1.341 O
4.296 3.745 -1.341 O
5.999 2.091 0.314 O
-0.314 0.864 2.091 O
3.745 -1.341 4.296 O
6.550 5.999 -2.091 O
3.745 1.341 2.567 O
4.296 -3.745 8.204 O
5.999 -2.091 6.550 O
2.567 3.745 1.341 O
7.728 4.772 0.314 O
3.745 8.204 -2.567 O
6.550 0.864 4.772 O
2.091 6.550 -0.864 O
8.204 2.567 3.118 O
1.341 2.567 3.745 O
2.091 0.314 5.999 O
4.772 6.550 0.864 O
5.522 4.296 3.118 O
-1.341 4.296 3.745 O
4.772 0.314 7.728 O
0.314 5.999 2.091 O
3.118 -1.341 9.430 O
-0.864 2.091 6.550 O
4.296 3.118 5.522 O
0.864 8.954 0.314 O
2.567 10.608 -1.341 O
3.118 5.522 4.296 O
0.314 0.864 8.954 O
3.118 8.204 2.567 O
7.177 5.999 4.772 O
0.864 4.772 6.550 O
2.567 3.118 8.204 O
-2.567 3.745 8.204 O
5.999 4.772 7.177 O
-3.745 8.204 4.296 O
0.314 7.728 4.772 O
-1.341 9.430 3.118 O
-2.091 6.550 5.999 O
-1.341 2.567 10.608 O
4.772 7.177 5.999 O
```

Summary:
ΔE_f (raw): -3.34 eV per atom
Space-group type: Ia-3d (230)



## PrDyO (GGA-PBE)

Data for a relaxed structure of PrDyO.

```
PrDyO
1.0
3.603 0.000 0.000
-1.801 3.120 0.000
0.000 0.000 6.054
Pr Dy O
1 1 1
Cartesian
0.000 0.000 0.000 Pr
1.801 1.040 3.264 Dy
0.000 2.080 4.383 O
```

Summary:
ΔE_f (raw): -1.73 eV per atom
E above lowest polymorph: 127.1 meV/atom
Space-group type: P3m1 (156)



## PrDy2O (GGA-PBE)

Data for a relaxed structure of PrDy2O.

```
PrDy2O
1.0
1.748 1.009 9.476
-1.748 1.009 9.476
0.000 -2.018 9.476
Pr Dy O
1 2 1
Cartesian
0.000 0.000 0.000 Pr
0.000 0.000 3.426 Dy
0.000 0.000 25.003 Dy
0.000 0.000 14.214 O
```

Summary:
ΔE_f (raw): -1.22 eV per atom
E above lowest polymorph: 0.0 meV/atom
Space-group type: R-3m (166)



## PrDy3O (GGA-PBE)

Data for a relaxed structure of PrDy3O.

```
PrDy3O
1.0
4.978 0.000 0.000
0.000 4.978 0.000
0.000 0.000 4.978
Pr Dy O
1 3 1
Cartesian
0.000 0.000 0.000 Pr
0.000 2.489 2.489 Dy
2.489 0.000 2.489 Dy
2.489 2.489 0.000 Dy
2.489 2.489 2.489 O
```

Summary:
ΔE_f (raw): -1.07 eV per atom
Space-group type: Pm-3m (221)



## Pr2DyPuO8 (GGA-PBE)

Data for a relaxed structure of Pr2DyPuO8.

```
Pr2DyPuO8
1.0
4.054 0.000 0.000
0.624 5.548 0.000
0.006 0.024 7.545
Pr Dy Pu O
2 1 1 8
Cartesian
4.056 0.014 1.829 Pr
0.628 5.558 5.716 Pr
2.339 2.774 0.000 Dy
2.342 2.786 3.773 Pu
0.537 4.131 0.009 O
0.766 3.958 3.775 O
2.000 1.534 5.435 O
2.001 1.510 2.096 O
2.683 4.061 5.449 O
2.684 4.037 2.110 O
3.918 1.614 3.770 O
4.148 1.441 7.536 O
```

Summary:
ΔE_f (raw): -2.98 eV per atom
Space-group type: P-1 (2)



## Rb3Pr2DyO6 (GGA-PBE)

Data for a relaxed structure of Rb3Pr2DyO6.

```
Rb3Pr2DyO6
1.0
3.153 -5.462 0.000
3.153 5.462 0.000
-2.099 0.000 6.603
Rb Pr Dy O
3 2 1 6
Cartesian
0.000 0.000 0.000 Rb
3.153 1.802 0.000 Rb
3.153 -1.802 0.000 Rb
2.103 3.641 3.302 Pr
2.103 -3.641 3.302 Pr
2.103 0.000 3.302 Dy
1.090 1.754 2.115 O
0.078 0.000 4.488 O
1.090 -1.754 2.115 O
3.116 1.754 4.488 O
4.129 0.000 2.116 O
3.116 -1.754 4.488 O
```

Summary:
ΔE_f (raw): -2.58 eV per atom
Space-group type: C2/m (12)



## PrDy2ReO8 (GGA-PBE)

Data for a relaxed structure of PrDy2ReO8.

```
PrDy2ReO8
1.0
5.086 0.000 0.000
0.000 6.897 0.000
-0.040 0.000 5.089
Pr Dy Re O
1 2 1 8
Cartesian
0.000 0.000 0.000 Pr
2.523 1.718 2.544 Dy
2.523 5.179 2.544 Dy
0.000 3.448 0.000 Re
0.932 2.068 0.934 O
0.932 4.829 0.934 O
1.309 3.448 3.744 O
1.579 0.000 3.472 O
3.466 0.000 1.617 O
3.737 3.448 1.345 O
4.114 2.068 4.155 O
4.114 4.829 4.155 O
```

Summary:
ΔE_f (raw): -2.75 eV per atom
Space-group type: P2/m (10)



## Pr2DyRhO6 (GGA-PBE)

Data for a relaxed structure of Pr2DyRhO6.

```
Pr2DyRhO6
1.0
5.686 0.000 0.000
0.000 5.974 0.000
-5.457 0.000 8.180
Pr Dy Rh O
4 2 2 12
Cartesian
-0.068 0.371 2.037 Pr
-2.797 2.616 6.127 Pr
3.025 3.357 2.053 Pr
0.296 5.603 6.143 Pr
2.843 0.000 0.000 Dy
0.114 2.987 4.090 Dy
-2.729 0.000 4.090 Rh
0.000 2.987 0.000 Rh
-4.415 1.232 7.683 O
-1.686 1.755 3.593 O
-3.796 4.152 7.688 O
-1.067 4.808 3.598 O
-1.996 0.277 6.039 O
0.732 2.710 1.949 O
-0.504 3.264 6.230 O
2.225 5.697 2.140 O
1.295 1.165 4.582 O
4.024 1.821 0.492 O
1.915 4.219 4.586 O
4.643 4.742 0.496 O
```

Summary:
ΔE_f (raw): -2.70 eV per atom
Space-group type: P2_1/c (14)



## Pr2DyS2O2 (GGA-PBE)

Data for a relaxed structure of Pr2DyS2O2.

```
Pr2DyS2O2
1.0
-2.152 2.152 7.563
2.152 -2.152 7.563
2.152 2.152 -7.563
Pr Dy S O
2 1 2 2
Cartesian
0.000 0.000 2.019 Pr
0.000 0.000 13.106 Pr
0.000 0.000 7.563 Dy
0.000 0.000 4.861 S
0.000 0.000 10.264 S
2.152 0.000 0.000 O
0.000 2.152 0.000 O
```

Summary:
ΔE_f (raw): -2.45 eV per atom
Space-group type: I4/mmm (139)



## PrDyS2O (GGA-PBE)

Data for a relaxed structure of PrDyS2O.

```
PrDyS2O
1.0
3.963 0.000 0.000
0.000 3.963 0.000
0.000 0.000 14.032
Pr Dy S O
2 2 4 2
Cartesian
0.991 0.991 1.257 Pr
2.972 2.972 12.775 Pr
0.991 0.991 8.708 Dy
2.972 2.972 5.324 Dy
0.991 0.991 5.749 S
0.991 0.991 11.206 S
2.972 2.972 2.826 S
2.972 2.972 8.283 S
0.991 2.972 0.000 O
2.972 0.991 0.000 O
```

Summary:
ΔE_f (raw): -2.48 eV per atom
Space-group type: P4/nmm (129)



## PrDySb2O8 (GGA-PBE)

Data for a relaxed structure of PrDySb2O8.

```
PrDySb2O8
1.0
-2.671 2.671 5.723
2.671 -2.671 5.723
2.671 2.671 -5.723
Pr Dy Sb O
1 1 2 8
Cartesian
0.000 0.000 0.000 Pr
2.671 0.000 2.862 Dy
0.000 0.000 5.723 Sb
0.000 2.671 2.862 Sb
1.332 0.976 -1.886 O
1.349 -0.905 4.693 O
1.766 1.322 1.030 O
1.694 -1.339 7.609 O
1.322 3.575 -1.030 O
1.339 1.694 3.837 O
0.905 1.349 6.753 O
0.976 4.009 1.886 O
```

Summary:
ΔE_f (raw): -2.31 eV per atom
Space-group type: I-4 (82)



## PrDySbO2 (GGA-PBE)

Data for a relaxed structure of PrDySbO2.

```
PrDySbO2
1.0
-1.970 1.970 6.836
1.970 -1.970 6.836
1.970 1.970 -6.836
Pr Dy Sb O
1 1 1 2
Cartesian
0.000 0.000 0.000 Pr
0.000 0.000 4.495 Dy
0.000 0.000 9.108 Sb
1.970 0.000 5.560 O
0.000 1.970 5.560 O
```

Summary:
ΔE_f (raw): -2.63 eV per atom
Space-group type: I4mm (107)



## PrDy2SbO8 (GGA-PBE)

Data for a relaxed structure of PrDy2SbO8.

```
PrDy2SbO8
1.0
4.162 0.000 0.000
0.000 7.417 0.000
-0.355 0.000 5.245
Pr Dy Sb O
1 2 1 8
Cartesian
0.000 0.000 0.000 Pr
1.903 1.912 2.622 Dy
1.903 5.505 2.622 Dy
0.000 3.708 0.000 Sb
-0.049 2.143 3.955 O
-0.049 5.274 3.955 O
1.677 3.708 1.120 O
1.969 0.000 1.364 O
1.837 0.000 3.881 O
2.129 3.708 4.125 O
3.855 2.143 1.290 O
3.855 5.274 1.290 O
```

Summary:
ΔE_f (raw): -2.44 eV per atom
Space-group type: P2/m (10)



## Pr4Dy2Sn3O2 (GGA-PBE)

Data for a relaxed structure of Pr4Dy2Sn3O2.

```
Pr4Dy2Sn3O2
1.0
-2.420 2.420 12.790
2.420 -2.420 12.790
2.420 2.420 -12.790
Pr Dy Sn O
4 2 3 2
Cartesian
2.420 0.000 2.152 Pr
2.420 0.000 10.638 Pr
0.000 2.420 2.152 Pr
0.000 2.420 10.638 Pr
0.000 0.000 4.983 Dy
0.000 0.000 20.596 Dy
0.000 0.000 8.172 Sn
0.000 0.000 12.790 Sn
0.000 0.000 17.407 Sn
0.000 0.000 2.752 O
0.000 0.000 22.828 O
```

Summary:
ΔE_f (raw): -1.44 eV per atom
Space-group type: I4/mmm (139)



## PrDyTc2O8 (GGA-PBE)

Data for a relaxed structure of PrDyTc2O8.

```
PrDyTc2O8
1.0
-2.639 2.639 5.724
2.639 -2.639 5.724
2.639 2.639 -5.724
Pr Dy Tc O
1 1 2 8
Cartesian
0.000 0.000 0.000 Pr
2.639 0.000 2.862 Dy
0.000 0.000 5.724 Tc
0.000 2.639 2.862 Tc
1.317 0.903 -1.910 O
1.334 -0.827 4.717 O
1.812 1.305 1.007 O
1.735 -1.321 7.634 O
1.305 3.465 -1.007 O
1.321 1.735 3.814 O
0.827 1.334 6.731 O
0.903 3.960 1.910 O
```

Summary:
ΔE_f (raw): -2.22 eV per atom
Space-group type: I-4 (82)



## PrDy2TcO8 (GGA-PBE)

Data for a relaxed structure of PrDy2TcO8.

```
PrDy2TcO8
1.0
3.584 -3.613 0.000
3.584 3.613 0.000
0.000 0.000 6.878
Pr Dy Tc O
1 2 1 8
Cartesian
0.000 0.000 0.000 Pr
3.584 0.000 1.717 Dy
3.584 0.000 5.162 Dy
0.000 0.000 3.439 Tc
1.323 0.000 2.058 O
1.323 0.000 4.820 O
3.584 1.704 3.439 O
3.584 1.324 0.000 O
3.584 -1.324 0.000 O
3.584 -1.704 3.439 O
5.845 0.000 2.058 O
5.845 0.000 4.820 O
```

Summary:
ΔE_f (raw): -2.59 eV per atom
Space-group type: Cmmm (65)



## PrDyTe2O8 (GGA-PBE)

Data for a relaxed structure of PrDyTe2O8.

```
PrDyTe2O8
1.0
-3.757 3.757 3.463
3.757 -3.757 3.463
3.757 3.757 -3.463
Pr Dy Te O
1 1 2 8
Cartesian
0.000 0.000 0.000 Pr
0.000 3.757 1.732 Dy
3.757 0.000 1.732 Te
0.000 0.000 3.463 Te
2.412 0.000 0.361 O
5.103 0.000 0.361 O
3.757 2.328 -1.366 O
3.757 -1.345 3.102 O
0.000 1.430 2.097 O
3.757 1.345 3.102 O
2.328 3.757 1.366 O
1.430 0.000 4.830 O
```

Summary:
ΔE_f (raw): -1.92 eV per atom
Space-group type: I-4m2 (119)



## PrDy2TeO8 (GGA-PBE)

Data for a relaxed structure of PrDy2TeO8.

```
PrDy2TeO8
1.0
3.543 -3.576 0.000
3.543 3.576 0.000
0.000 0.000 7.079
Pr Dy Te O
1 2 1 8
Cartesian
0.000 0.000 0.000 Pr
3.543 0.000 1.851 Dy
3.543 0.000 5.228 Dy
0.000 0.000 3.539 Te
3.543 2.258 2.093 O
3.543 2.258 4.985 O
1.959 0.000 3.539 O
2.284 0.000 0.000 O
4.802 0.000 0.000 O
5.128 0.000 3.539 O
3.543 -2.258 2.093 O
3.543 -2.258 4.985 O
```

Summary:
ΔE_f (raw): -2.47 eV per atom
Space-group type: Cmmm (65)



## PrDyTeO6 (GGA-PBE)

Data for a relaxed structure of PrDyTeO6.

```
PrDyTeO6
1.0
5.612 0.000 0.000
-2.806 4.860 0.000
0.000 0.000 9.929
Pr Dy Te O
2 2 2 12
Cartesian
0.000 0.000 0.000 Pr
0.000 0.000 4.964 Pr
0.000 3.240 2.482 Dy
2.806 1.620 7.446 Dy
0.000 3.240 7.446 Te
2.806 1.620 2.482 Te
-0.828 1.846 6.345 O
-1.621 3.220 8.548 O
0.828 1.846 8.548 O
-0.793 4.654 6.345 O
2.013 0.206 1.381 O
1.185 1.640 3.584 O
1.621 3.220 6.345 O
0.793 4.654 8.548 O
3.599 0.206 3.584 O
1.978 3.014 1.381 O
4.427 1.640 1.381 O
3.634 3.014 3.584 O
```

Summary:
ΔE_f (raw): -2.43 eV per atom
Space-group type: P-31c (163)